(1)
VASP calculation (PBE) on a geometry-optimized Tc2PIr structure.

abc: 4.9434 4.9434 4.2729
angles: 89.87 89.87 33.88
Element x y z (fractional)
Tc: 0.2173 0.2173 0.7408
Tc: 0.7827 0.7827 0.2592
P: 0.0000 0.0000 0.0000
Ir: 0.5000 0.5000 0.5000

Summary:
As for the crystal system: monoclinic. The calculation puts the energy of formation from the pure elements at -0.001 eV per atom. The value obtained for the theoretical density is 11.96 g/cm3.

(2)
VASP calculation (PBE) on a geometry-optimized TcPIr2 structure.

abc: 2.7970 4.5140 4.5179
angles: 90.00 90.00 90.00
Element x y z (fractional)
Tc: 0.0000 0.5000 0.5000
P: 0.5000 0.0000 0.5000
Ir: 0.0000 0.0000 0.0000
Ir: 0.5000 0.5000 0.0000

Summary:
As for the crystal system: orthorhombic. The calculation puts the energy of formation from the pure elements at 0.167 eV per atom. The value obtained for the theoretical density is 14.95 g/cm3.

(3)
VASP calculation (PBE) on a geometry-optimized TcPIr2 structure.

abc: 2.8016 2.8016 8.5099
angles: 90.00 90.00 120.01
Element x y z (fractional)
Tc: 0.5000 0.5000 0.2749
P: 0.0000 0.0000 0.4973
Ir: 0.0000 0.0000 0.0060
Ir: 0.5000 0.5000 0.7218

Summary:
As for the crystal system: orthorhombic. The calculation puts the energy of formation from the pure elements at 0.274 eV per atom. The value obtained for the theoretical density is 14.74 g/cm3.